# 1
# RbNaCu2Br4

A geometry-optimized RbNaCu2Br4 structure (PBE, Alexandria via LeMat-Bulk).

```
8
Lattice="-0.569 4.685 5.509 3.532 -1.052 6.035 4.648 5.274 0.771" Properties=species:S:1:pos:R:3 pbc="T T T"
Rb 0.000 0.000 0.000
Na 3.806 4.454 6.157
Cu 2.800 2.179 3.212
Cu 4.812 6.728 9.103
Br 2.564 4.421 3.559
Br 5.345 2.036 5.875
Br 1.875 4.655 8.285
Br 5.439 6.703 6.911
```

Computed properties:
Size of the total moment ... 0.00 Bohr magnetons per cell
Volume ... 267 Å³/cell
Total DFT energy (no corrections) ... -3.0981 eV per atom
Formation energy from raw total energies ... -0.952 eV per atom
Crystal system ... orthorhombic

=====

# 2
# Rb2NaCuBr5

A geometry-optimized Rb2NaCuBr5 structure (PBE, Alexandria via LeMat-Bulk).

```
18
Lattice="-4.094 1.195 0.893 -0.862 -3.682 -9.664 -2.678 -13.080 5.223" Properties=species:S:1:pos:R:3 pbc="T T T"
Rb -6.447 -12.595 -2.078
Rb -2.643 -9.894 1.120
Rb -1.631 -5.137 -0.606
Rb -4.684 -4.170 -5.268
Na -5.209 -8.276 -2.182
Na -1.296 -1.774 -3.569
Cu -4.881 -11.813 4.058
Cu -3.656 -8.161 -5.847
Br -2.048 -2.302 -6.312
Br -5.479 -12.126 1.734
Br -4.152 -9.557 4.383
Br -3.585 -10.695 -2.130
Br -6.029 -8.687 -5.393
Br -4.316 -7.059 0.286
Br -2.890 -7.029 -3.850
Br -3.610 -6.630 -7.684
Br -3.638 -2.863 -2.220
Br -2.914 -13.273 4.397
```

Computed properties:
Size of the total moment ... 2.19 Bohr magnetons per cell
Volume ... 634 Å³/cell
Total DFT energy (no corrections) ... -2.9314 eV per atom
Formation energy from raw total energies ... -1.185 eV per atom
Crystal system ... orthorhombic

=====

# 3
# Rb3NaCu2Br9

A geometry-optimized Rb3NaCu2Br9 structure (PBE, Alexandria via LeMat-Bulk).

```
15
Lattice="-4.275 -6.042 -1.238 7.391 -0.310 -1.262 1.400 -2.812 8.889" Properties=species:S:1:pos:R:3 pbc="T T T"
Rb 4.434 -4.092 4.660
Rb 0.000 0.000 0.000
Rb 0.082 -5.073 1.729
Na 0.700 -1.406 4.445
Cu 3.727 -2.672 0.171
Cu 0.789 -6.493 6.218
Br -1.288 -6.994 4.901
Br 2.264 -7.143 4.295
Br 0.767 -4.090 5.497
Br 3.749 -5.075 0.892
Br 2.252 -2.022 2.094
Br 5.804 -2.171 1.487
Br -2.137 -3.021 -0.619
Br 3.696 -0.155 -0.631
Br 1.558 -3.176 -1.250
```

Computed properties:
Size of the total moment ... 0.00 Bohr magnetons per cell
Volume ... 460 Å³/cell
Total DFT energy (no corrections) ... -2.8073 eV per atom
Formation energy from raw total energies ... -0.976 eV per atom
Crystal system ... trigonal

=====

# 4
# Rb3NaCu2Br6

A geometry-optimized Rb3NaCu2Br6 structure (PBE, Alexandria via LeMat-Bulk).

```
12
Lattice="-0.105 -4.155 6.825 -0.478 -3.812 -7.007 8.977 -0.650 -0.258" Properties=species:S:1:pos:R:3 pbc="T T T"
Rb 5.514 -4.352 -2.565
Rb 2.880 -4.266 2.125
Rb 0.000 0.000 0.000
Na 4.488 -0.325 -0.129
Cu 6.291 -4.513 2.027
Cu 2.103 -4.105 -2.467
Br 2.112 -6.170 -1.344
Br 2.408 -2.116 -1.251
Br 2.165 -4.056 -4.816
Br 5.986 -6.502 0.811
Br 6.282 -2.448 0.904
Br 6.229 -4.562 4.376
```

Computed properties:
Size of the total moment ... 0.00 Bohr magnetons per cell
Volume ... 498 Å³/cell
Total DFT energy (no corrections) ... -3.0317 eV per atom
Formation energy from raw total energies ... -1.161 eV per atom
Crystal system ... trigonal

=====

# 5
# NaScCuBr6

A geometry-optimized NaScCuBr6 structure (PBE, Alexandria via LeMat-Bulk).

```
9
Lattice="6.649 0.000 0.000 0.000 6.786 0.000 0.000 -3.393 5.877" Properties=species:S:1:pos:R:3 pbc="T T T"
Na 0.000 0.000 3.918
Sc 3.325 3.393 1.959
Cu 3.325 0.000 0.000
Br 4.839 2.473 3.947
Br 4.839 2.131 0.169
Br 4.839 5.574 1.761
Br 1.810 1.212 1.761
Br 1.810 4.655 0.169
Br 1.810 4.312 3.947
```

Computed properties:
Size of the total moment ... 1.04 Bohr magnetons per cell
Volume ... 265 Å³/cell
Total DFT energy (no corrections) ... -3.5663 eV per atom
Formation energy from raw total energies ... -1.146 eV per atom
Crystal system ... trigonal

=====

# 6
# NaSc2CuBr

A geometry-optimized NaSc2CuBr structure (PBE, Alexandria via LeMat-Bulk).

```
5
Lattice="-5.164 -1.200 -1.048 1.327 -3.820 -2.164 -0.307 -2.740 4.648" Properties=species:S:1:pos:R:3 pbc="T T T"
Sc -0.153 -1.370 2.324
Sc -2.582 -0.600 -0.524
Na 0.000 0.000 0.000
Cu 0.663 -1.910 -1.082
Br -2.072 -3.880 0.718
```

Computed properties:
Size of the total moment ... 0.00 Bohr magnetons per cell
Volume ... 134 Å³/cell
Total DFT energy (no corrections) ... -3.1195 eV per atom
Formation energy from raw total energies ... 0.831 eV per atom
Crystal system ... tetragonal

=====

What did the fourth record say?
# Rb3NaCu2Br6

A geometry-optimized Rb3NaCu2Br6 structure (PBE, Alexandria via LeMat-Bulk).

```
12
Lattice="-0.105 -4.155 6.825 -0.478 -3.812 -7.007 8.977 -0.650 -0.258" Properties=species:S:1:pos:R:3 pbc="T T T"
Rb 5.514 -4.352 -2.565
Rb 2.880 -4.266 2.125
Rb 0.000 0.000 0.000
Na 4.488 -0.325 -0.129
Cu 6.291 -4.513 2.027
Cu 2.103 -4.105 -2.467
Br 2.112 -6.170 -1.344
Br 2.408 -2.116 -1.251
Br 2.165 -4.056 -4.816
Br 5.986 -6.502 0.811
Br 6.282 -2.448 0.904
Br 6.229 -4.562 4.376
```

Computed properties:
Size of the total moment ... 0.00 Bohr magnetons per cell
Volume ... 498 Å³/cell
Total DFT energy (no corrections) ... -3.0317 eV per atom
Formation energy from raw total energies ... -1.161 eV per atom
Crystal system ... trigonal